{"formula": "LiFeF3", "functional": "PBE with a Hubbard U", "state": "relaxed", "total_magnetization_mub_per_cell": 16.0, "relative_energy_kj_per_mol_atoms": 3.6, "spacegroup": "No. 15", "e_tot_ev_per_atom": -5.24, "lattice": [[3.897, 5.825, 0.059], [-3.897, 5.825, 0.059], [0.000, 2.168, 5.430]], "species": ["Li", "Li", "Li", "Li", "Fe", "Fe", "Fe", "Fe", "F", "F", "F", "F", "F", "F", "F", "F", "F", "F", "F", "F"], "frac_coords": [[0.070, 0.930, 0.250], [0.690, 0.310, 0.250], [0.930, 0.070, 0.750], [0.310, 0.690, 0.750], [0.657, 0.838, 0.193], [0.838, 0.657, 0.693], [0.162, 0.343, 0.307], [0.343, 0.162, 0.807], [0.785, 0.070, 0.114], [0.070, 0.785, 0.614], [0.338, 0.026, 0.211], [0.687, 0.585, 0.065], [0.026, 0.338, 0.711], [0.585, 0.687, 0.565], [0.415, 0.313, 0.435], [0.974, 0.662, 0.289], [0.313, 0.415, 0.935], [0.662, 0.974, 0.789], [0.930, 0.215, 0.386], [0.215, 0.930, 0.886]]}